! MgAlCu PBE-GGA relaxed; values from VASP
&SYSTEM
  ibrav = 0, nat = 6, ntyp = 3
/
ATOMIC_SPECIES
Al 26.98 Al.upf
Mg 24.30 Mg.upf
Cu 63.55 Cu.upf
ATOMIC_POSITIONS angstrom
Al 3.371 -0.352 2.121
Al 4.723 1.907 2.122
Mg 2.194 1.886 3.712
Mg 2.152 1.911 0.537
Cu 5.920 -0.343 2.118
Cu 4.604 0.445 0.039
CELL_PARAMETERS angstrom
5.100 0.014 -0.004
-2.393 4.502 0.005
2.631 -1.575 4.159
! ΔH_f (0 K) (meV/atom): -191
! Theoretical density (Mg/m³): 3.98
! Volume (Å³ per atom): 15.95
! SG: Imma

! Mg2AlCu PBE-GGA relaxed; values from VASP
&SYSTEM
  ibrav = 0, nat = 4, ntyp = 3
/
ATOMIC_SPECIES
Mg 24.30 Mg.upf
Al 26.98 Al.upf
Cu 63.55 Cu.upf
ATOMIC_POSITIONS angstrom
Mg 0.000 0.000 0.000
Mg -5.394 6.392 -1.018
Al -3.596 4.261 -0.679
Cu -1.798 2.131 -0.339
CELL_PARAMETERS angstrom
-0.421 4.566 -0.094
-2.969 1.970 -2.887
-3.802 1.986 1.623
! ΔH_f (0 K) (meV/atom): 26
! Theoretical density (Mg/m³): 3.39
! Volume (Å³ per atom): 17.05
! SG: F-43m